Record 1
Entry from Alexandria: a relaxed structure of CaSn2Pt (PBE-GGA).

Calculated total energy = -17.67 eV for the cell shown
Symmetry = Fm-3m (225)
Spin magnetization = 0.0 μB/f.u.
V = 22.338 Å³ per atom
Formation energy from the elements = -406 meV/atom

POSCAR file:
```
CaSn2Pt
1.0
-3.1759 2.3962 3.0583
-3.9278 2.4767 -1.9025
-4.6475 -1.7678 0.6757
Ca Sn Pt
1 2 1
Direct
0.0000 0.0000 0.0000
0.2500 0.2500 0.2500
0.7500 0.7500 0.7500
0.5000 0.5000 0.5000
```



Record 2
Entry from Alexandria: a relaxed structure of Ca2SnPt (PBE-GGA).

Calculated total energy = -17.11 eV for the cell shown
Symmetry = P4/mmm (123)
Spin magnetization = 0.0 μB/f.u.
V = 24.779 Å³ per atom
Formation energy from the elements = -765 meV/atom

POSCAR file:
```
Ca2SnPt
1.0
3.4760 0.0000 0.0000
0.0000 3.4760 0.0000
0.0000 0.0000 8.2033
Ca Sn Pt
2 1 1
Direct
0.0000 0.0000 0.7872
0.0000 0.0000 0.2128
0.5000 0.5000 0.5000
0.5000 0.5000 0.0000
```



Record 3
Entry from Alexandria: a relaxed structure of Ca2SnPt (PBE-GGA).

Calculated total energy = -31.69 eV for the cell shown
Symmetry = I-42d (122)
Spin magnetization = 0.0 μB/f.u.
V = 27.230 Å³ per atom
Formation energy from the elements = -449 meV/atom

POSCAR file:
```
Ca2SnPt
1.0
8.2958 0.0000 0.0000
0.0000 8.2958 0.0000
4.1479 4.1479 3.1653
Ca Sn Pt
4 2 2
Direct
0.6748 0.1250 0.2500
0.0752 0.6250 0.2500
0.3750 0.3252 0.7500
0.8750 0.9248 0.7500
0.5000 0.5000 0.0000
0.2500 0.7500 0.5000
0.0000 0.0000 0.0000
0.7500 0.2500 0.5000
```



- Among the records above, which one has the lowest calculated total energy?
  number 3



- Which of these has the highest formation energy from the elements?
  CaSn2Pt



- Look up the V of the third one.
  27.230 Å³ per atom